Here is a relaxed structure of TmCr2SbO6 from the Alexandria database. Energies are from GGA+U.

## Properties
Its uncorrected energy is -7.479 eV/atom.

Cell: 5.490 5.491 5.556 Å, 60.39 60.39 60.00°
Last column: magnetic moment on the atom in μB.
Element x y z (fractional)
Tm 0.799 0.798 0.604  0.01
Cr 0.519 0.519 0.443  2.96
Cr 0.016 0.016 0.951  2.97
Sb 0.301 0.301 0.098  0.02
O 0.679 0.237 0.231  -0.02
O 0.237 0.852 0.231  -0.02
O 0.852 0.679 0.231  -0.02
O 0.373 0.725 0.742  -0.03
O 0.725 0.160 0.742  -0.03
O 0.160 0.373 0.742  -0.03